No. 1
! PBE-GGA PmMgZn, relaxed; values from VASP
&SYSTEM
  ibrav = 0, nat = 3, ntyp = 3
/
ATOMIC_SPECIES
Zn 65.41 Zn.upf
Mg 24.30 Mg.upf
Pm 145.00 Pm.upf
CELL_PARAMETERS angstrom
-4.593 0.692 1.747
-2.720 3.823 -1.617
-3.919 -0.808 -2.935
ATOMIC_POSITIONS crystal
Zn 0.750 0.750 0.750
Mg 0.250 0.250 0.250
Pm 0.000 0.000 0.000
! crystal system = cubic
! E above lowest polymorph = 459 meV per atom

No. 2
! PBE-GGA Cs2Cu2Se3, relaxed; values from VASP
&SYSTEM
  ibrav = 0, nat = 14, ntyp = 3
/
ATOMIC_SPECIES
Se 78.96 Se.upf
Cs 132.91 Cs.upf
Cu 63.55 Cu.upf
CELL_PARAMETERS angstrom
-5.323 4.753 -4.453
-3.258 -7.646 1.294
-2.905 2.286 5.975
ATOMIC_POSITIONS crystal
Se 0.054 0.715 0.339
Cs 0.663 0.862 0.369
Cs 0.337 0.138 0.631
Cu 0.217 0.645 0.563
Cu 0.355 0.783 0.937
Se 0.946 0.285 0.661
Cu 0.645 0.217 0.063
Se 0.285 0.946 0.161
Cs 0.862 0.663 0.869
Cu 0.783 0.355 0.437
Se 0.715 0.054 0.839
Se 0.588 0.412 0.250
Cs 0.138 0.337 0.131
Se 0.412 0.588 0.750
! crystal system = monoclinic
! E_tot = -3.4194 eV/atom